DFT (GGA-PBE) results for a relaxed structure of La3Nd2TaN6.

Calculated values
The uncorrected formation energy is -127 kJ/mol of atoms. As for the total energy: -101.9 eV/cell.

extended XYZ file:
```
12
Lattice="-0.1535 -3.2846 -5.2385 0.1784 -2.8992 5.4605 -5.8657 2.0247 0.1091" Properties=species:S:1:pos:R:3 pbc="T T T"
La -2.8091 -1.9504 3.7509
La -3.0316 -2.2087 -3.4198
La -2.9204 -2.0795 0.1655
Nd 0.0679 -3.0275 1.8990
Nd -0.0430 -3.1563 -1.6770
Ta 0.0000 0.0000 0.0000
N -4.6177 -3.3036 -1.2996
N -1.3080 -4.3690 0.1980
N -1.2230 -0.8555 1.6307
N -4.5210 -3.1913 1.8171
N -4.5328 0.2099 0.1331
N -1.3197 -0.9678 -1.4861
```